DFT (PBE) results for a relaxed structure of BAsPC.

The value obtained for the density is 3.8 Mg/m³. The density of states at the Fermi level comes out at 1.93 states/eV per cell. Its distance to the lowest polymorph of the same formula is 0 meV per atom. For the formation energy, the calculation gives 0.268 eV per atom.

The structure belongs to space group Cm (No. 8); the cell edges are 7.711, 2.687 and 5.531 Å and the angles 90.00°, 99.69° and 90.00°. The inequivalent atoms are B at (0.000, 0.000, 0.000), As at (0.262, 0.500, 0.725), P at (0.315, 0.500, 0.226) and C at (0.107, 0.500, 0.008).